The following is a DFT calculation (PBE-GGA) of an optimized crystal structure of TlAgTe2.

Geometry as POSCAR:
```
TlAgTe2
1.0
3.283 0.000 0.000
0.000 24.208 0.000
0.000 0.000 6.062
Tl Ag Te
4 4 8
direct
0.000 0.181 0.250
0.000 0.819 0.750
0.500 0.319 0.750
0.500 0.681 0.250
0.000 0.435 0.250
0.000 0.565 0.750
0.500 0.065 0.750
0.500 0.935 0.250
0.000 0.322 0.250
0.000 0.450 0.750
0.000 0.550 0.250
0.000 0.678 0.750
0.500 0.050 0.250
0.500 0.178 0.750
0.500 0.822 0.250
0.500 0.950 0.750
```

Calculated values
**Calculated density**: 7.8 Mg/m³
**Raw formation energy**: -0.3 eV/f.u.
**SG**: Cmcm